Entry 1:
# PBE TbY2Th3Se6, optimized geometry
data_TbY2Th3Se6
_symmetry_space_group_name_H-M 'C 1 2/m 1'
_symmetry_Int_Tables_number 12
_cell_length_a 6.9864
_cell_length_b 12.0203
_cell_length_c 7.5609
_cell_angle_alpha 90.00
_cell_angle_beta 107.72
_cell_angle_gamma 90.00
loop_
_symmetry_equiv_pos_as_xyz
'x,y,z'
'-x,-y,-z'
'-x,y,-z'
'x,-y,z'
'x+1/2,y+1/2,z'
'-x+1/2,-y+1/2,-z'
'-x+1/2,y+1/2,-z'
'x+1/2,-y+1/2,z'
loop_
_atom_site_label
_atom_site_type_symbol
_atom_site_fract_x
_atom_site_fract_y
_atom_site_fract_z
Tb1 Tb 0.0000 0.0000 0.0000
Y1 Y 0.0000 0.3334 0.0000
Th1 Th 0.0000 0.1664 0.5000
Th2 Th 0.0000 0.5000 0.5000
Se1 Se 0.2443 0.5000 0.2343
Se2 Se 0.2452 0.1670 0.2346
# Magnetization = 0.0000 μB per atom
# Formation energy from raw total energies = -1645 meV per atom
# Volume = 605 Å³ per cell


Entry 2:
# PBE Tb3Y2ThSe6, optimized geometry
data_Tb3Y2ThSe6
_symmetry_space_group_name_H-M 'C 1 2/m 1'
_symmetry_Int_Tables_number 12
_cell_length_a 17.8940
_cell_length_b 4.0979
_cell_length_c 8.2642
_cell_angle_alpha 90.00
_cell_angle_beta 102.73
_cell_angle_gamma 90.00
loop_
_symmetry_equiv_pos_as_xyz
'x,y,z'
'-x,-y,-z'
'-x,y,-z'
'x,-y,z'
'x+1/2,y+1/2,z'
'-x+1/2,-y+1/2,-z'
'-x+1/2,y+1/2,-z'
'x+1/2,-y+1/2,z'
loop_
_atom_site_label
_atom_site_type_symbol
_atom_site_fract_x
_atom_site_fract_y
_atom_site_fract_z
Tb1 Tb 0.0000 0.0000 0.0000
Tb2 Tb 0.1618 0.5000 0.3345
Y1 Y 0.1637 0.5000 0.8289
Th1 Th 0.0000 0.0000 0.5000
Se1 Se 0.0012 0.5000 0.7604
Se2 Se 0.1686 0.0000 0.0836
Se3 Se 0.1720 0.0000 0.5871
# Magnetization = 0.0000 μB per atom
# Formation energy from raw total energies = -1723 meV per atom
# Volume = 591 Å³ per cell


Entry 3:
# PBE Tb3TiSe6, optimized geometry
data_Tb3TiSe6
_symmetry_space_group_name_H-M 'C m c 21'
_symmetry_Int_Tables_number 36
_cell_length_a 11.2272
_cell_length_b 13.9377
_cell_length_c 6.8536
_cell_angle_alpha 90.00
_cell_angle_beta 90.00
_cell_angle_gamma 90.00
loop_
_symmetry_equiv_pos_as_xyz
'x,y,z'
'-x,-y,z+1/2'
'-x,y,z'
'x,-y,z+1/2'
'x+1/2,y+1/2,z'
'-x+1/2,-y+1/2,z+1/2'
'-x+1/2,y+1/2,z'
'x+1/2,-y+1/2,z+1/2'
loop_
_atom_site_label
_atom_site_type_symbol
_atom_site_fract_x
_atom_site_fract_y
_atom_site_fract_z
Tb1 Tb 0.0000 0.0960 0.0000
Tb2 Tb 0.1812 0.4022 0.9063
Ti1 Ti 0.0000 0.2994 0.3653
Se1 Se 0.0000 0.2788 0.7275
Se2 Se 0.0000 0.4631 0.2146
Se3 Se 0.1636 0.0325 0.7045
Se4 Se 0.1684 0.2313 0.1862
# Magnetization = 0.1020 μB per atom
# Formation energy from raw total energies = -1596 meV per atom
# Volume = 1072 Å³ per cell